Material: Zn3AuCl
Method: DFT, PBE-GGA
State: relaxed

abc: 4.977 4.977 4.977
angles: 90.00 90.00 90.00
Space group Pm-3m (No. 221)
Inequivalent atoms, fractional coordinates:
1 Zn 0.000 0.000 0.500
2 Au 0.000 0.000 0.000
3 Cl 0.500 0.500 0.500

Summary:
The calculation puts the density of states at the Fermi level at 1.32 states/eV/cell. The value obtained for the magnetization is 0.00 μB/atom. The value obtained for the energy relative to the elements, uncorrected is -0.100 eV per atom.